## i
MnZnI2N | PBE-GGA | optimized geometry

a b c (Å): 5.5700 5.5700 3.5993
angles (deg): 90.00 90.00 90.00
Space group P4/mmm (No. 123)
Symmetry-distinct sites (fractional):
Mn 0.0000 0.0000 0.0000 x1
Zn 0.5000 0.5000 0.5000 x1
I 0.0000 0.5000 0.0000 x2
N 0.0000 0.0000 0.5000 x1

Output
The value obtained for the density of states at the Fermi level is 3.0 states/eV per cell. The value obtained for the magnetic moment is 2.04 Bohr magnetons per cell.



## ii
MnZnI2N | PBE-GGA | optimized geometry

a b c (Å): 5.8233 5.8233 3.7725
angles (deg): 90.00 90.00 90.00
Space group P4/mmm (No. 123)
Symmetry-distinct sites (fractional):
Mn 0.0000 0.0000 0.0000 x1
Zn 0.5000 0.5000 0.5000 x1
I 0.0000 0.5000 0.5000 x2
N 0.5000 0.5000 0.0000 x1

Output
The value obtained for the density of states at the Fermi level is 2.4 states/eV per cell. The value obtained for the magnetic moment is 6.53 Bohr magnetons per cell.



From most stable to least stable, the computed energies give i, ii.